The following is a PBE calculation of a geometry-optimized Ce3TmSn12 structure, from Alexandria via LeMat-Bulk.

Summary:
**ρ**: 8.006 g cm⁻³
**Calculated volume**: 26.1 A^3/atom
**ΔE_f**: -8.0 eV/f.u.

Structure (POSCAR):
```
Ce3TmSn12
1.0
4.738 0.000 0.000
0.000 4.738 0.000
0.000 0.000 18.609
Ce Tm Sn
3 1 12
direct
0.000 0.000 0.000 Ce
0.000 0.000 0.250 Ce
0.000 0.000 0.750 Ce
0.000 0.000 0.500 Tm
0.000 0.500 0.125 Sn
0.000 0.500 0.377 Sn
0.000 0.500 0.623 Sn
0.000 0.500 0.875 Sn
0.500 0.000 0.125 Sn
0.500 0.000 0.377 Sn
0.500 0.000 0.623 Sn
0.500 0.000 0.875 Sn
0.500 0.500 0.000 Sn
0.500 0.500 0.251 Sn
0.500 0.500 0.500 Sn
0.500 0.500 0.749 Sn
```